#P
The following is a PBE calculation of crystalline NbFe2Ru at its relaxed geometry, from the Alexandria database.

Cell: 4.2821 4.2821 4.2821 Å, 60.00 60.00 60.00°
Fractional coordinates of all 4 atoms:
Nb 0.0000 0.0000 0.0000
Fe 0.2500 0.2500 0.2500
Fe 0.7500 0.7500 0.7500
Ru 0.5000 0.5000 0.5000

Its space-group type is Fm-3m. The volume comes out at 13.880 Å³/atom.



#Q
The following is a PBE calculation of crystalline NbFe2Ru at its relaxed geometry, from the Alexandria database.

Cell: 9.7887 9.7887 9.7887 Å, 158.89 158.89 30.02°
Fractional coordinates of all 8 atoms:
Nb 0.0000 0.0000 0.0000
Nb 0.7500 0.2500 0.5000
Fe 0.1340 0.6250 0.0090
Fe 0.3750 0.3840 0.5090
Fe 0.6160 0.1250 0.9910
Fe 0.8750 0.8660 0.4910
Ru 0.2500 0.7500 0.5000
Ru 0.5000 0.5000 0.0000

Its space-group type is I-42d. The volume comes out at 15.192 Å³/atom.



Which one sits at the top of the stability order? #P does.



#P
The following is a PBE calculation of crystalline Nb2FeRu at its relaxed geometry, from the Alexandria database.

Cell: 3.1114 3.1114 6.3728 Å, 90.00 90.00 90.00°
Fractional coordinates of all 4 atoms:
Nb 0.0000 0.0000 0.2381
Nb 0.0000 0.0000 0.7619
Fe 0.5000 0.5000 0.0000
Ru 0.5000 0.5000 0.5000

Its space-group type is P4/mmm. The volume comes out at 15.423 Å³/atom.



#Q
The following is a PBE calculation of crystalline Nb2FeRu at its relaxed geometry, from the Alexandria database.

Cell: 4.4558 4.4558 3.1327 Å, 90.00 90.00 90.00°
Fractional coordinates of all 4 atoms:
Nb 0.0000 0.5000 0.0000
Nb 0.5000 0.0000 0.0000
Fe 0.0000 0.0000 0.5000
Ru 0.5000 0.5000 0.5000

Its space-group type is P4/mmm. The volume comes out at 15.549 Å³/atom.



#R
The following is a PBE calculation of crystalline Nb2FeRu at its relaxed geometry, from the Alexandria database.

Cell: 8.6725 8.6725 8.6725 Å, 19.44 19.44 19.44°
Fractional coordinates of all 4 atoms:
Nb 0.2474 0.2474 0.2474
Nb 0.7526 0.7526 0.7526
Fe 0.5000 0.5000 0.5000
Ru 0.0000 0.0000 0.0000

Its space-group type is R-3m. The volume comes out at 15.800 Å³/atom.



Which one sits at the top of the stability order? #P does.



#P
The following is a PBE calculation of crystalline Nb2FeRu at its relaxed geometry, from the Alexandria database.

Cell: 5.6257 5.6257 5.6257 Å, 103.36 103.36 122.53°
Fractional coordinates of all 8 atoms:
Nb 0.1208 0.1250 0.4958
Nb 0.3750 0.8792 0.0042
Nb 0.6292 0.6250 0.5042
Nb 0.8750 0.3708 0.9958
Fe 0.0000 0.0000 0.0000
Fe 0.7500 0.2500 0.5000
Ru 0.2500 0.7500 0.5000
Ru 0.5000 0.5000 0.0000

Its space-group type is I-42d. The volume comes out at 16.453 Å³/atom.



#Q
The following is a PBE calculation of crystalline Nb2FeRu at its relaxed geometry, from the Alexandria database.

Cell: 4.4462 4.4462 4.4462 Å, 60.00 60.00 60.00°
Fractional coordinates of all 4 atoms:
Nb 0.2500 0.2500 0.2500
Nb 0.7500 0.7500 0.7500
Fe 0.0000 0.0000 0.0000
Ru 0.5000 0.5000 0.5000

Its space-group type is Fm-3m. The volume comes out at 15.538 Å³/atom.



Which one sits at the top of the stability order? #Q does.



#P
The following is a PBE calculation of crystalline NbFe2Ru2 at its relaxed geometry, from the Alexandria database.

Cell: 7.0465 7.0465 2.7180 Å, 90.00 90.00 90.00°
Fractional coordinates of all 10 atoms:
Nb 0.0000 0.0000 0.0000
Nb 0.5000 0.5000 0.0000
Fe 0.1197 0.3803 0.0000
Fe 0.3803 0.8803 0.0000
Fe 0.6197 0.1197 0.0000
Fe 0.8803 0.6197 0.0000
Ru 0.1743 0.6743 0.5000
Ru 0.3257 0.1743 0.5000
Ru 0.6743 0.8257 0.5000
Ru 0.8257 0.3257 0.5000

Its space-group type is P4/mbm. The volume comes out at 13.496 Å³/atom.



#Q
The following is a PBE calculation of crystalline NbFe2Ru2 at its relaxed geometry, from the Alexandria database.

Cell: 7.1383 7.1383 2.6737 Å, 90.00 90.00 90.00°
Fractional coordinates of all 10 atoms:
Nb 0.0000 0.0000 0.0000
Nb 0.5000 0.5000 0.0000
Fe 0.1696 0.3304 0.5000
Fe 0.3304 0.8304 0.5000
Fe 0.6696 0.1696 0.5000
Fe 0.8304 0.6696 0.5000
Ru 0.1270 0.6270 0.0000
Ru 0.3730 0.1270 0.0000
Ru 0.6270 0.8730 0.0000
Ru 0.8730 0.3730 0.0000

Its space-group type is P4/mbm. The volume comes out at 13.624 Å³/atom.



Which one sits at the top of the stability order? #P does.